Below is a geometry-optimized Ba2CoCl structure, with properties calculated at the PBE level. Values from VASP.

Structure (Quantum ESPRESSO input):
```
&SYSTEM
  ibrav = 0, nat = 8, ntyp = 3
/
ATOMIC_SPECIES
Cl 35.45 Cl.upf
Co 58.93 Co.upf
Ba 137.33 Ba.upf
ATOMIC_POSITIONS crystal
Cl 0.500 0.500 0.000
Cl 0.250 0.750 0.500
Co 0.000 0.000 0.000
Co 0.750 0.250 0.500
Ba 0.661 0.125 0.250
Ba 0.375 0.339 0.750
Ba 0.089 0.625 0.250
Ba 0.875 0.911 0.750
CELL_PARAMETERS angstrom
-3.870 -6.681 -1.217
3.500 -0.762 -6.948
3.370 -6.155 -2.025
```

Summary:
magnetic moment	0.0	μB/cell
symmetry	No. 122
DFT total energy	-3.62	eV/atom
excess energy over the best structure of this formula in the dataset	0.150	eV/atom
density of states at the Fermi level	0.00	states/eV per cell
crystal system	tetragonal

***

Below is a geometry-optimized BaCoCl2 structure, with properties calculated at the PBE level. Values from VASP.

Structure (Quantum ESPRESSO input):
```
&SYSTEM
  ibrav = 0, nat = 4, ntyp = 3
/
ATOMIC_SPECIES
Ba 137.33 Ba.upf
Co 58.93 Co.upf
Cl 35.45 Cl.upf
ATOMIC_POSITIONS crystal
Ba 0.500 0.500 0.500
Co 0.750 0.750 0.750
Cl 0.000 0.000 0.000
Cl 0.250 0.250 0.250
CELL_PARAMETERS angstrom
5.359 0.000 0.000
2.679 4.641 0.000
2.679 1.547 4.376
```

Summary:
magnetic moment	3.0	μB/cell
symmetry	No. 216
DFT total energy	-3.64	eV/atom
excess energy over the best structure of this formula in the dataset	0.559	eV/atom
density of states at the Fermi level	5.80	states/eV per cell
crystal system	cubic

***

Below is a geometry-optimized BaCoCl2 structure, with properties calculated at the PBE level. Values from VASP.

Structure (Quantum ESPRESSO input):
```
&SYSTEM
  ibrav = 0, nat = 4, ntyp = 3
/
ATOMIC_SPECIES
Co 58.93 Co.upf
Ba 137.33 Ba.upf
Cl 35.45 Cl.upf
ATOMIC_POSITIONS crystal
Co 0.500 0.250 0.250
Ba 0.500 0.750 0.750
Cl 0.000 0.253 0.489
Cl 0.000 0.247 0.011
CELL_PARAMETERS angstrom
-1.410 2.504 2.563
-3.544 -1.919 -0.075
1.864 -3.720 4.662
```

Summary:
magnetic moment	1.2	μB/cell
symmetry	No. 10
DFT total energy	-4.02	eV/atom
excess energy over the best structure of this formula in the dataset	0.174	eV/atom
density of states at the Fermi level	1.65	states/eV per cell
crystal system	monoclinic

***

Below is a geometry-optimized BaCo2Cl structure, with properties calculated at the PBE level. Values from VASP.

Structure (Quantum ESPRESSO input):
```
&SYSTEM
  ibrav = 0, nat = 4, ntyp = 3
/
ATOMIC_SPECIES
Cl 35.45 Cl.upf
Ba 137.33 Ba.upf
Co 58.93 Co.upf
ATOMIC_POSITIONS crystal
Cl 0.750 0.750 0.750
Ba 0.250 0.250 0.250
Co 0.072 0.072 0.072
Co 0.428 0.428 0.428
CELL_PARAMETERS angstrom
-1.160 5.319 2.629
0.080 2.389 5.552
3.017 4.285 3.013
```

Summary:
magnetic moment	2.3	μB/cell
symmetry	No. 166
DFT total energy	-4.19	eV/atom
excess energy over the best structure of this formula in the dataset	0.463	eV/atom
density of states at the Fermi level	6.02	states/eV per cell
crystal system	trigonal

***

Below is a geometry-optimized Ba2CoCl structure, with properties calculated at the PBE level. Values from VASP.

Structure (Quantum ESPRESSO input):
```
&SYSTEM
  ibrav = 0, nat = 4, ntyp = 3
/
ATOMIC_SPECIES
Co 58.93 Co.upf
Ba 137.33 Ba.upf
Cl 35.45 Cl.upf
ATOMIC_POSITIONS crystal
Co 0.500 0.875 0.875
Ba 0.500 0.375 0.375
Ba 0.000 0.875 0.875
Cl 0.000 0.375 0.375
CELL_PARAMETERS angstrom
-1.671 -3.595 4.848
2.894 -3.289 -1.441
3.363 1.851 2.532
```

Summary:
magnetic moment	0.3	μB/cell
symmetry	No. 47
DFT total energy	-3.77	eV/atom
excess energy over the best structure of this formula in the dataset	0.001	eV/atom
density of states at the Fermi level	3.70	states/eV per cell
crystal system	orthorhombic

***

Below is a geometry-optimized BaCoCl2 structure, with properties calculated at the PBE level. Values from VASP.

Structure (Quantum ESPRESSO input):
```
&SYSTEM
  ibrav = 0, nat = 8, ntyp = 3
/
ATOMIC_SPECIES
Cl 35.45 Cl.upf
Co 58.93 Co.upf
Ba 137.33 Ba.upf
ATOMIC_POSITIONS crystal
Cl 0.875 0.760 0.750
Cl 0.510 0.125 0.250
Cl 0.240 0.625 0.250
Cl 0.375 0.490 0.750
Co 0.250 0.750 0.500
Co 0.500 0.500 0.000
Ba 0.750 0.250 0.500
Ba 0.000 0.000 0.000
CELL_PARAMETERS angstrom
-3.624 4.219 -0.837
-4.260 -3.671 -0.062
-4.664 0.997 6.323
```

Summary:
magnetic moment	2.1	μB/cell
symmetry	No. 122
DFT total energy	-3.98	eV/atom
excess energy over the best structure of this formula in the dataset	0.217	eV/atom
density of states at the Fermi level	7.49	states/eV per cell
crystal system	tetragonal